Nd2ThTi: relaxed, GGA-PBE.

## Properties
DOS(E_F), states/eV/f.u.: 6.85
Energy of formation, eV per atom: 0.28
Total moment, μB/cell: 0.00

Cell lengths 11.4289, 11.4289, 11.4289 Å; angles 17.47, 17.47, 17.47 degrees
Sites, in units of the cell vectors:
1 Nd 0.2423 0.2423 0.2423
2 Nd 0.7577 0.7577 0.7577
3 Th 0.0000 0.0000 0.0000
4 Ti 0.5000 0.5000 0.5000